[1]
A plane-wave DFT calculation with PBE was carried out for a geometry-optimized CaAc2Pr3N6 structure.

The space group is C2/m (No. 12) and the conventional cell measures 16.344, 3.745 and 7.500 Å, with angles of 90.00, 103.59 and 90.00 degrees. The distinct sites, in fractional coordinates, are Ca at (0.000, 0.000, 0.000), Ac at (0.163, 0.500, 0.325), Pr at (0.000, 0.000, 0.500), Pr at (0.162, 0.500, 0.836), N at (0.003, 0.500, 0.742), N at (0.165, 0.000, 0.590) and N at (0.170, 0.000, 0.079).

The value obtained for the uncorrected formation energy is -1.057 eV/atom. As for the crystal system: monoclinic.


[2]
A plane-wave DFT calculation with PBE was carried out for a geometry-optimized BaLaC3 structure.

The space group is Pm-3m (No. 221) and the conventional cell measures 4.628, 4.628 and 4.628 Å, with angles of 90.00, 90.00 and 90.00 degrees. The distinct sites, in fractional coordinates, are Ba at (0.000, 0.000, 0.000), La at (0.500, 0.500, 0.500) and C at (0.000, 0.000, 0.500).

As for the energy above the most stable polymorph in this dataset: 604 meV per atom. As for the crystal system: cubic.


[3]
A plane-wave DFT calculation with PBE was carried out for a geometry-optimized Cs3RuPb structure.

The space group is Pm-3m (No. 221) and the conventional cell measures 6.031, 6.031 and 6.031 Å, with angles of 90.00, 90.00 and 90.00 degrees. The distinct sites, in fractional coordinates, are Cs at (0.000, 0.000, 0.500), Ru at (0.000, 0.000, 0.000) and Pb at (0.500, 0.500, 0.500).

As for the energy above the most stable polymorph in this dataset: 0 meV per atom. As for the crystal system: cubic.


[4]
A plane-wave DFT calculation with PBE was carried out for a geometry-optimized InCu2Pb structure.

The space group is P4mm (No. 99) and the conventional cell measures 3.236, 3.236 and 7.757 Å, with angles of 90.00, 90.00 and 90.00 degrees. The distinct sites, in fractional coordinates, are In at (0.000, 0.000, 0.000), Cu at (0.000, 0.000, 0.632), Cu at (0.500, 0.500, 0.776) and Pb at (0.500, 0.500, 0.377).

The total energy is -0.1291 hartree per atom. As for the crystal system: tetragonal.


[5]
A plane-wave DFT calculation with PBE was carried out for a geometry-optimized K2Hg2Pb structure.

The space group is P4/mbm (No. 127) and the conventional cell measures 9.985, 9.985 and 3.556 Å, with angles of 90.00, 90.00 and 90.00 degrees. The distinct sites, in fractional coordinates, are K at (0.181, 0.319, 0.000), Hg at (0.112, 0.612, 0.500) and Pb at (0.000, 0.000, 0.000).

As for the energy above the most stable polymorph in this dataset: 165 meV per atom. As for the crystal system: tetragonal.


[6]
A plane-wave DFT calculation with PBE was carried out for a geometry-optimized Al2CuSi structure.

The space group is Pmma (No. 51) and the conventional cell measures 5.514, 4.500 and 4.909 Å, with angles of 90.00, 90.00 and 90.00 degrees. The distinct sites, in fractional coordinates, are Al at (0.000, 0.000, 0.000), Al at (0.250, 0.000, 0.490), Cu at (0.250, 0.500, 0.232) and Si at (0.250, 0.500, 0.744).

The value obtained for the uncorrected formation energy is 0.134 eV/atom. As for the crystal system: orthorhombic.


[7]
A plane-wave DFT calculation with PBE was carried out for a geometry-optimized KNd2BiO5 structure.

The space group is P4/mbm (No. 127) and the conventional cell measures 6.912, 6.912 and 6.519 Å, with angles of 90.00, 90.00 and 90.00 degrees. The distinct sites, in fractional coordinates, are K at (0.000, 0.000, 0.000), Nd at (0.176, 0.324, 0.500), Bi at (0.000, 0.500, 0.000), O at (0.000, 0.000, 0.500) and O at (0.145, 0.645, 0.268).

The value obtained for the uncorrected formation energy is -2.218 eV/atom. As for the crystal system: tetragonal.


[8]
A plane-wave DFT calculation with PBE was carried out for a geometry-optimized HfAlCd2Ir structure.

The space group is P4/mmm (No. 123) and the conventional cell measures 4.710, 4.710 and 5.138 Å, with angles of 90.00, 90.00 and 90.00 degrees. The distinct sites, in fractional coordinates, are Hf at (0.000, 0.000, 0.000), Al at (0.000, 0.000, 0.500), Cd at (0.000, 0.500, 0.500) and Ir at (0.500, 0.500, 0.000).

The total energy is -0.1408 hartree per atom. As for the crystal system: tetragonal.


[9]
A plane-wave DFT calculation with PBE was carried out for a geometry-optimized ErPuOsRu structure.

The space group is F-43m (No. 216) and the conventional cell measures 6.748, 6.748 and 6.748 Å, with angles of 90.00, 90.00 and 90.00 degrees. The distinct sites, in fractional coordinates, are Er at (0.000, 0.000, 0.000), Pu at (0.000, 0.000, 0.500), Os at (0.250, 0.250, 0.750) and Ru at (0.250, 0.250, 0.250).

The total energy is -0.3692 hartree per atom. As for the crystal system: cubic.


[10]
A plane-wave DFT calculation with PBE was carried out for a geometry-optimized CaPm2Eu structure.

The space group is P4/mmm (No. 123) and the conventional cell measures 3.692, 3.692 and 10.821 Å, with angles of 90.00, 90.00 and 90.00 degrees. The distinct sites, in fractional coordinates, are Ca at (0.000, 0.000, 0.000), Pm at (0.500, 0.500, 0.255) and Eu at (0.000, 0.000, 0.500).

As for the energy above the most stable polymorph in this dataset: 24 meV per atom. As for the crystal system: tetragonal.


[11]
A plane-wave DFT calculation with PBE was carried out for a geometry-optimized FeCuSi2 structure.

The space group is R3m (No. 160, hexagonal axes) and the conventional cell measures 2.7741, 2.7741 and 22.8568 Å, with angles of 90.00, 90.00 and 120.00 degrees. The distinct sites, in fractional coordinates, are Fe at (0.0000, 0.0000, 0.0000), Cu at (0.0000, 0.0000, 0.2442), Si at (0.0000, 0.0000, 0.4968) and Si at (0.0000, 0.0000, 0.7417).

The value obtained for the uncorrected formation energy is 0.176 eV/atom. As for the crystal system: trigonal.


[12]
A plane-wave DFT calculation with PBE was carried out for a geometry-optimized LiSmHoTl structure.

The space group is F-43m (No. 216) and the conventional cell measures 7.537, 7.537 and 7.537 Å, with angles of 90.00, 90.00 and 90.00 degrees. The distinct sites, in fractional coordinates, are Li at (0.000, 0.000, 0.000), Sm at (0.250, 0.250, 0.250), Ho at (0.250, 0.250, 0.750) and Tl at (0.000, 0.000, 0.500).

The total energy is -0.1318 hartree per atom. As for the crystal system: cubic.